[1]
## SrZrMn (SCAN)

Data for SrZrMn at its PBEsol-relaxed geometry.

a = 3.4601 Å, b = 3.4601 Å, c = 7.0104 Å
α = 90.00°, β = 90.00°, γ = 120.00°
Closest atoms and distances in Å follow each position.
Space group P3m1 (No. 156)
One atom of each set of equivalent atoms:
1 Sr 0.0000 0.0000 0.0000 x1  3 Mn 3.05
2 Zr 0.3333 0.6667 0.5484 x1  3 Mn 2.52
3 Mn 0.6667 0.3333 0.3285 x1  3 Zr 2.52

- formation enthalpy at 0 K (eV per atom) = 0.6560
- density of states at the Fermi level (states/eV/f.u.) = 3.383
- total magnetization (μB per formula unit) = 1.72

[2]
## MgIrW2 (SCAN)

Data for MgIrW2 at its PBEsol-relaxed geometry.

a = 2.7466 Å, b = 2.7466 Å, c = 8.3992 Å
α = 90.00°, β = 90.00°, γ = 90.00°
Closest atoms and distances in Å follow each position.
Space group P4/mmm (No. 123)
One atom of each set of equivalent atoms:
1 Mg 0.0000 0.0000 0.0000 x1  4 Mg 2.75, 8 W 2.98
2 Ir 0.0000 0.0000 0.5000 x1  8 W 2.75, 4 Ir 2.75
3 W 0.5000 0.5000 0.2688 x2  4 Ir 2.75, 4 W 2.75, 4 Mg 2.98

- formation enthalpy at 0 K (eV per atom) = 0.1691
- density of states at the Fermi level (states/eV/f.u.) = 2.009
- total magnetization (μB per formula unit) = 0.00

[3]
## SnAsSe2Br (SCAN)

Data for SnAsSe2Br at its PBEsol-relaxed geometry.

a = 5.0722 Å, b = 5.0722 Å, c = 5.0924 Å
α = 90.00°, β = 90.00°, γ = 90.00°
Closest atoms and distances in Å follow each position.
Space group P4/mmm (No. 123)
One atom of each set of equivalent atoms:
1 Sn 0.0000 0.0000 0.0000 x1  4 As 3.59, 8 Se 3.59
2 As 0.5000 0.5000 0.0000 x1  2 Br 2.55
3 Se 0.0000 0.5000 0.5000 x2  2 Br 2.54
4 Br 0.5000 0.5000 0.5000 x1  4 Se 2.54, 2 As 2.55

- formation energy without anion corrections (eV/f.u.) = 4.12
- density of states at the Fermi level (states/eV/f.u.) = 4.039
- total magnetization (μB per formula unit) = 0.00

[4]
## SrScO2F (SCAN)

Data for SrScO2F at its PBEsol-relaxed geometry.

a = 4.5347 Å, b = 4.5347 Å, c = 4.2879 Å
α = 90.00°, β = 90.00°, γ = 90.00°
Closest atoms and distances in Å follow each position.
Space group P4/mmm (No. 123)
One atom of each set of equivalent atoms:
1 Sr 0.0000 0.0000 0.0000 x1  2 F 2.14, 4 O 2.27
2 Sc 0.5000 0.5000 0.5000 x1  8 O 3.12, 4 F 3.21
3 O 0.0000 0.5000 0.0000 x2  2 Sr 2.27
4 F 0.0000 0.0000 0.5000 x1  2 Sr 2.14

- formation energy without anion corrections (eV/f.u.) = -8.63
- density of states at the Fermi level (states/eV/f.u.) = 3.018
- total magnetization (μB per formula unit) = 0.00

[5]
## In3Pb (SCAN)

Data for In3Pb at its PBEsol-relaxed geometry.

a = 4.8124 Å, b = 4.8124 Å, c = 18.3081 Å
α = 90.00°, β = 90.00°, γ = 90.00°
Closest atoms and distances in Å follow each position.
Space group I4/mmm (No. 139)
One atom of each set of equivalent atoms:
1 In 0.0000 0.0000 0.1245 x4  8 In 3.31-3.33, 4 Pb 3.40
2 In 0.0000 0.5000 0.0000 x4  8 In 3.31-3.40, 4 Pb 3.33
3 In 0.0000 0.5000 0.2500 x4  4 Pb 3.31, 8 In 3.33-3.40
4 Pb 0.0000 0.0000 0.3744 x4  12 In 3.31-3.40

- formation enthalpy at 0 K (eV per atom) = 0.0716
- density of states at the Fermi level (states/eV/f.u.) = 1.862
- total magnetization (μB per formula unit) = 0.00

[6]
## Sc2CoPbN (SCAN)

Data for Sc2CoPbN at its PBEsol-relaxed geometry.

a = 5.3381 Å, b = 5.3381 Å, c = 4.6172 Å
α = 90.00°, β = 90.00°, γ = 90.00°
Closest atoms and distances in Å follow each position.
Space group P4/mmm (No. 123)
One atom of each set of equivalent atoms:
1 Sc 0.0000 0.5000 0.0000 x2  2 Pb 2.67
2 Co 0.0000 0.0000 0.5000 x1  2 Pb 2.31
3 Pb 0.0000 0.0000 0.0000 x1  2 Co 2.31
4 N 0.5000 0.5000 0.5000 x1  8 Sc 3.53, 4 Co 3.77

- formation energy without anion corrections (eV/f.u.) = 7.33
- density of states at the Fermi level (states/eV/f.u.) = 1.828
- total magnetization (μB per formula unit) = 1.92